# 1
! CrMo2Cl (PBE-GGA, optimized geometry); values from VASP
! energy relative to the lowest polymorph listed for this composition = 476 meV/atom
! DOS(E_F) = 0.88 states/eV/atom
! size of the total moment = 0.18 μB/atom
&SYSTEM
  ibrav = 0, nat = 4, ntyp = 3
/
ATOMIC_SPECIES
Cr 52.00 Cr.upf
Cl 35.45 Cl.upf
Mo 95.94 Mo.upf
ATOMIC_POSITIONS crystal
Cr 0.000 0.500 0.500
Cl 0.500 0.000 0.500
Mo 0.500 0.500 0.000
Mo 0.000 0.000 0.000
CELL_PARAMETERS angstrom
-0.418 2.535 3.683
-0.732 -3.688 2.456
2.795 -0.236 0.479

# 2
! Cr2MoCl (PBE-GGA, optimized geometry); values from VASP
! energy relative to the lowest polymorph listed for this composition = 231 meV/atom
! DOS(E_F) = 1.08 states/eV/atom
! size of the total moment = 0.49 μB/atom
&SYSTEM
  ibrav = 0, nat = 4, ntyp = 3
/
ATOMIC_SPECIES
Cr 52.00 Cr.upf
Mo 95.94 Mo.upf
Cl 35.45 Cl.upf
ATOMIC_POSITIONS crystal
Cr 0.500 0.500 0.241
Cr 0.000 0.000 0.012
Mo 0.000 0.000 0.478
Cl 0.500 0.500 0.769
CELL_PARAMETERS angstrom
-2.773 -0.373 -0.547
1.760 -0.511 -2.184
0.589 -7.723 2.281

# 3
! CrMo2Cl (PBE-GGA, optimized geometry); values from VASP
! energy relative to the lowest polymorph listed for this composition = 201 meV/atom
! DOS(E_F) = 1.08 states/eV/atom
! size of the total moment = 0.00 μB/atom
&SYSTEM
  ibrav = 0, nat = 4, ntyp = 3
/
ATOMIC_SPECIES
Cr 52.00 Cr.upf
Mo 95.94 Mo.upf
Cl 35.45 Cl.upf
ATOMIC_POSITIONS crystal
Cr 0.500 0.500 0.750
Mo 0.000 0.000 0.983
Mo 0.000 0.000 0.517
Cl 0.500 0.500 0.250
CELL_PARAMETERS angstrom
-1.205 1.587 1.972
-1.585 -2.201 -0.709
3.705 -4.586 5.955

# 4
! CrMo2Cl (PBE-GGA, optimized geometry); values from VASP
! energy relative to the lowest polymorph listed for this composition = 640 meV/atom
! DOS(E_F) = 0.84 states/eV/atom
! size of the total moment = 0.62 μB/atom
&SYSTEM
  ibrav = 0, nat = 4, ntyp = 3
/
ATOMIC_SPECIES
Cr 52.00 Cr.upf
Mo 95.94 Mo.upf
Cl 35.45 Cl.upf
ATOMIC_POSITIONS crystal
Cr 0.750 0.250 0.500
Mo 0.000 0.000 0.000
Mo 0.500 0.500 0.000
Cl 0.250 0.750 0.500
CELL_PARAMETERS angstrom
-2.674 0.073 -4.624
-1.537 -4.486 -2.460
-0.133 2.263 4.837